Entry 1:
VASP calculation (GGA-PBE) on crystalline GdHoAg6 at its relaxed geometry.

abc: 5.0371 6.1493 5.2193
angles: 90.00 90.00 90.00
Element x y z (fractional)
Ag 0.5000 0.2484 0.3420
Ho 0.5000 0.5000 0.8461
Gd 0.0000 0.0000 0.1552
Ag 0.0000 0.5000 0.1780
Ag 0.0000 0.7416 0.6598
Ag 0.5000 0.0000 0.8171
Ag 0.0000 0.2584 0.6598
Ag 0.5000 0.7516 0.3420

Summary:
**ρ**: 9957 kg/m³
**ΔE_f**: -25.57 kJ per mole of atoms
**Total energy**: -3.537 eV per atom

---

Entry 2:
VASP calculation (GGA-PBE) on crystalline YTm2Al3Si2Pt at its relaxed geometry.

abc: 4.2012 6.8674 6.8674
angles: 120.06 90.00 90.00
Element x y z (fractional)
Al 0.5000 0.0008 0.7621
Pt 0.0000 0.0041 0.0041
Al 0.5000 0.2375 0.2375
Tm 0.0000 0.9992 0.4168
Y 0.0000 0.5811 0.5811
Si 0.5000 0.3309 0.6675
Si 0.5000 0.6675 0.3309
Tm 0.0000 0.4168 0.9992
Al 0.5000 0.7621 0.0008

Summary:
**ρ**: 7349 kg/m³
**Total energy**: -5.719 eV per atom

---

Entry 3:
VASP calculation (GGA-PBE) on crystalline TaSn2Hg at its relaxed geometry.

abc: 5.0602 5.0602 5.0602
angles: 60.00 60.00 60.00
Element x y z (fractional)
Hg 0.2500 0.2500 0.2500
Sn 0.7500 0.7500 0.7500
Ta 0.5000 0.5000 0.5000
Sn 0.0000 0.0000 0.0000

Summary:
**ρ**: 11218 kg/m³
**Total energy**: -4.373 eV per atom

---

Entry 4:
VASP calculation (GGA-PBE) on crystalline Pr2IrAu at its relaxed geometry.

abc: 4.5798 5.8355 5.8355
angles: 40.24 90.00 90.00
Element x y z (fractional)
Ir 0.5000 0.5360 0.5360
Au 0.0000 0.7083 0.7083
Pr 0.0000 0.9890 0.9890
Pr 0.5000 0.2668 0.2668

Summary:
**ρ**: 11060 kg/m³
**ΔE_f**: -67.12 kJ per mole of atoms
**Total energy**: -6.113 eV per atom

---

Entry 5:
VASP calculation (GGA-PBE) on crystalline Mg4AlSiPt2 at its relaxed geometry.

abc: 8.5975 4.3415 4.3415
angles: 59.93 90.00 90.00
Element x y z (fractional)
Mg 0.1649 0.6662 0.6662
Al 0.0000 0.9999 0.9999
Pt 0.5000 0.6674 0.6674
Si 0.5000 0.0006 0.0006
Pt 0.0000 0.3332 0.3332
Mg 0.3301 0.3333 0.3333
Mg 0.8351 0.6662 0.6662
Mg 0.6699 0.3333 0.3333

Summary:
**ρ**: 6423 kg/m³
**Total energy**: -4.112 eV per atom

---

Entry 6:
VASP calculation (GGA-PBE) on crystalline Lu3Sc3FeBi2 at its relaxed geometry.

abc: 8.0344 8.0344 3.9602
angles: 90.00 90.00 120.00
Element x y z (fractional)
Sc 0.6168 0.6168 0.0000
Bi 0.3333 0.6667 0.5000
Lu 0.0000 0.7664 0.5000
Fe 0.0000 0.0000 0.0000
Lu 0.7664 0.0000 0.5000
Sc 0.0000 0.3832 0.0000
Bi 0.6667 0.3333 0.5000
Lu 0.2336 0.2336 0.5000
Sc 0.3832 0.0000 0.0000

Summary:
**ρ**: 8502 kg/m³
**Total energy**: -5.828 eV per atom

---

Entry 7:
VASP calculation (GGA-PBE) on crystalline DySiPd2 at its relaxed geometry.

abc: 4.0580 7.1252 5.0171
angles: 90.00 90.00 90.00
Element x y z (fractional)
Pd 0.5000 0.6225 0.9003
Dy 0.0000 0.3259 0.9354
Dy 0.0000 0.6741 0.4354
Si 0.5000 0.9542 0.6973
Pd 0.0000 0.0926 0.4669
Pd 0.0000 0.9074 0.9669
Si 0.5000 0.0458 0.1973
Pd 0.5000 0.3775 0.4003

Summary:
**ρ**: 9236 kg/m³
**Total energy**: -5.873 eV per atom

---

Entry 8:
VASP calculation (GGA-PBE) on crystalline YCdB4 at its relaxed geometry.

abc: 3.2256 3.2256 7.6868
angles: 90.00 90.00 120.00
Element x y z (fractional)
B 0.6667 0.3333 0.2474
B 0.6667 0.3333 0.7526
B 0.3333 0.6667 0.2474
Y 0.0000 0.0000 0.0000
B 0.3333 0.6667 0.7526
Cd 0.0000 0.0000 0.5000

Summary:
**ρ**: 5863 kg/m³
**Total energy**: -5.648 eV per atom

---

Entry 9:
VASP calculation (GGA-PBE) on crystalline Er2SiGeIr at its relaxed geometry.

abc: 5.6784 5.6784 10.0860
angles: 116.41 116.41 43.50
Element x y z (fractional)
Er 0.8174 0.8174 0.8878
Ge 0.4787 0.4787 0.1246
Si 0.6409 0.6409 0.5662
Ir 0.2689 0.2689 0.6218
Er 0.1826 0.1826 0.1122
Ge 0.5213 0.5213 0.8754
Ir 0.7311 0.7311 0.3782
Si 0.3591 0.3591 0.4338
Er 0.9956 0.9956 0.3261
Er 0.0044 0.0044 0.6739

Summary:
**ρ**: 10603 kg/m³
**Total energy**: -6.592 eV per atom

---

Entry 10:
VASP calculation (GGA-PBE) on crystalline ZrTcSb2 at its relaxed geometry.

abc: 4.8980 4.8980 4.8980
angles: 60.00 60.00 60.00
Element x y z (fractional)
Tc 0.2500 0.2500 0.2500
Sb 0.7500 0.7500 0.7500
Zr 0.5000 0.5000 0.5000
Sb 0.0000 0.0000 0.0000

Summary:
**ρ**: 8648 kg/m³
**Total energy**: -6.668 eV per atom

---

Entry 11:
VASP calculation (GGA-PBE) on crystalline LiCo3Bi5 at its relaxed geometry.

abc: 5.4989 5.4989 8.2027
angles: 90.00 90.00 120.00
Element x y z (fractional)
Bi 0.3333 0.6667 0.7697
Co 0.5000 0.5000 0.5000
Li 0.0000 0.0000 0.0000
Co 0.5000 0.0000 0.5000
Bi 0.6667 0.3333 0.7697
Bi 0.3333 0.6667 0.2303
Bi 0.6667 0.3333 0.2303
Bi 0.0000 0.0000 0.5000
Co 0.0000 0.5000 0.5000

Summary:
**ρ**: 9498 kg/m³
**Total energy**: -4.698 eV per atom

---

Entry 12:
VASP calculation (GGA-PBE) on crystalline ErTeNO at its relaxed geometry.

abc: 6.2598 7.0499 6.3335
angles: 90.00 90.00 90.00
Element x y z (fractional)
Er 0.3980 0.3172 0.5080
N 0.5727 0.6003 0.6591
Te 0.4043 0.7734 0.4561
N 0.4273 0.3997 0.1591
Er 0.1020 0.3172 0.0080
Te 0.5957 0.2266 0.9561
Te 0.9043 0.2266 0.4561
N 0.9273 0.6003 0.1591
O 0.9152 0.9776 0.5792
Te 0.0957 0.7734 0.9561
Er 0.8980 0.6828 0.5080
Er 0.6020 0.6828 0.0080
O 0.5848 0.9776 0.0792
O 0.0848 0.0224 0.0792
N 0.0727 0.3997 0.6591
O 0.4152 0.0224 0.5792

Summary:
**ρ**: 7720 kg/m³
**Total energy**: -6.341 eV per atom

---

Entry 13:
VASP calculation (GGA-PBE) on crystalline Dy3Er2Lu2Te2Pd2 at its relaxed geometry.

abc: 9.3661 9.3661 9.3661
angles: 155.85 67.18 118.39
Element x y z (fractional)
Lu 0.0888 0.7326 0.3562
Pd 0.3047 0.0707 0.2341
Te 0.7357 0.2357 0.5000
Pd 0.8366 0.0707 0.7659
Er 0.6907 0.3738 0.3169
Dy 0.4518 0.5813 0.8705
Dy 0.9997 0.9997 0.0000
Er 0.0569 0.3738 0.6831
Dy 0.7108 0.5813 0.1295
Te 0.3345 0.3345 0.0000
Lu 0.3764 0.7326 0.6438

Summary:
**ρ**: 9283 kg/m³
**Total energy**: -5.267 eV per atom

---

Entry 14:
VASP calculation (GGA-PBE) on crystalline BeTlCoAg at its relaxed geometry.

abc: 4.3876 4.3876 4.3876
angles: 60.00 60.00 60.00
Element x y z (fractional)
Be 0.2500 0.2500 0.2500
Ag 0.5000 0.5000 0.5000
Tl 0.0000 0.0000 0.0000
Co 0.7500 0.7500 0.7500

Summary:
**ρ**: 10570 kg/m³
**Total energy**: -3.482 eV per atom

---

Entry 15:
VASP calculation (GGA-PBE) on crystalline LuTaBi2Ir2 at its relaxed geometry.

abc: 4.5855 6.4650 9.1417
angles: 90.00 90.00 90.00
Element x y z (fractional)
Ir 0.5000 0.2295 0.8904
Bi 0.5000 0.9801 0.1304
Ta 0.0000 0.9897 0.8794
Ir 0.5000 0.2730 0.3548
Bi 0.0000 0.5167 0.3782
Bi 0.5000 0.0167 0.6218
Ta 0.5000 0.4897 0.1206
Lu 0.0000 0.0110 0.3739
Ir 0.0000 0.7730 0.6452
Lu 0.5000 0.5110 0.6261
Ir 0.0000 0.7295 0.1096
Bi 0.0000 0.4801 0.8696

Summary:
**ρ**: 14195 kg/m³
**Total energy**: -7.493 eV per atom

---

Entry 16:
VASP calculation (GGA-PBE) on crystalline Ba2LiOsSe6 at its relaxed geometry.

abc: 7.0938 7.0956 7.1124
angles: 60.15 60.13 60.03
Element x y z (fractional)
Se 0.2456 0.2525 0.2506
Ba 0.7501 0.2499 0.7499
Se 0.2493 0.7469 0.7532
Se 0.7544 0.7475 0.7494
Li 0.5000 0.0000 0.5000
Ba 0.2499 0.7501 0.2501
Se 0.7507 0.2531 0.2468
Os 0.0000 0.5000 0.0000
Se 0.2496 0.2500 0.7538
Se 0.7504 0.7500 0.2462

Summary:
**ρ**: 6188 kg/m³
**Total energy**: -4.622 eV per atom

---

Entry 17:
VASP calculation (GGA-PBE) on crystalline NiGe2Mo at its relaxed geometry.

abc: 4.3837 4.3837 4.3837
angles: 60.00 60.00 60.00
Element x y z (fractional)
Ge 0.5000 0.5000 0.5000
Ge 0.7500 0.7500 0.7500
Mo 0.2500 0.2500 0.2500
Ni 0.0000 0.0000 0.0000

Summary:
**ρ**: 8361 kg/m³
**Total energy**: -6.047 eV per atom

---

Entry 18:
VASP calculation (GGA-PBE) on crystalline CsYCoTe3 at its relaxed geometry.

abc: 10.4639 4.2703 10.6655
angles: 90.00 114.03 90.00
Element x y z (fractional)
Cs 0.2198 0.2500 0.7481
Te 0.8165 0.2500 0.9610
Te 0.4781 0.7500 0.6722
Y 0.3262 0.7500 0.3605
Y 0.6738 0.2500 0.6395
Te 0.5219 0.2500 0.3278
Co 0.0758 0.2500 0.0903
Te 0.1111 0.2500 0.3455
Te 0.8889 0.7500 0.6545
Cs 0.7802 0.7500 0.2519
Te 0.1835 0.7500 0.0390
Co 0.9242 0.7500 0.9097

Summary:
**ρ**: 5063 kg/m³
**Total energy**: -4.855 eV per atom

---

Entry 19:
VASP calculation (GGA-PBE) on crystalline Na4ZnGaAu2 at its relaxed geometry.

abc: 4.8434 4.8434 6.8229
angles: 90.00 90.00 90.00
Element x y z (fractional)
Na 0.0000 0.0000 0.5000
Au 0.0000 0.5000 0.7536
Zn 0.5000 0.5000 0.5000
Na 0.5000 0.5000 0.0000
Ga 0.0000 0.0000 0.0000
Na 0.0000 0.5000 0.2547
Au 0.5000 0.0000 0.2464
Na 0.5000 0.0000 0.7453

Summary:
**ρ**: 6443 kg/m³
**Total energy**: -2.187 eV per atom

---

Entry 20:
VASP calculation (GGA-PBE) on crystalline MgCdSO at its relaxed geometry.

abc: 6.5414 7.5575 6.0884
angles: 90.00 90.00 90.00
Element x y z (fractional)
S 0.5806 0.3646 0.1346
Cd 0.8916 0.8962 0.9731
Cd 0.3916 0.1038 0.9731
Cd 0.6084 0.8962 0.4731
S 0.0806 0.6354 0.1346
Mg 0.0592 0.6535 0.5349
O 0.5740 0.8764 0.1073
O 0.9260 0.8764 0.6073
S 0.4194 0.6354 0.6346
Mg 0.9408 0.3465 0.0349
Mg 0.5592 0.3465 0.5349
S 0.9194 0.3646 0.6346
O 0.0740 0.1236 0.1073
Cd 0.1084 0.1038 0.4731
Mg 0.4408 0.6535 0.0349
O 0.4260 0.1236 0.6073

Summary:
**ρ**: 4078 kg/m³
**Total energy**: -4.199 eV per atom